[1]
Here is MgSc4 at its PBEsol-relaxed geometry from Alexandria via LeMat-Bulk. Energies are from meta-GGA SCAN.

Calculated values
Magnetic moment   2.639 μB per formula unit
ΔE_f   0.0388 eV per atom

Unit cell a=7.106 b=7.106 c=4.646 alpha=90.00 beta=90.00 gamma=90.00
Space group I4/m (No. 87)
Symmetry-distinct sites (fractional):
Mg1 0.000 0.000 0.000 (multiplicity 2)
Sc1 0.103 0.692 0.500 (multiplicity 8)


[2]
Here is Mg12Sc17 at its PBEsol-relaxed geometry from Alexandria via LeMat-Bulk. Energies are from meta-GGA SCAN.

Calculated values
Magnetic moment   0.714 μB per formula unit
ΔE_f   0.0280 eV per atom

Unit cell a=11.026 b=11.026 c=11.026 alpha=90.00 beta=90.00 gamma=90.00
Space group I-43m (No. 217)
Symmetry-distinct sites (fractional):
Mg1 0.091 0.091 0.721 (multiplicity 24)
Sc1 0.000 0.000 0.000 (multiplicity 2)
Sc2 0.043 0.358 0.642 (multiplicity 24)
Sc3 0.178 0.178 0.178 (multiplicity 8)


[3]
Here is Mg3Sc2 at its PBEsol-relaxed geometry from Alexandria via LeMat-Bulk. Energies are from meta-GGA SCAN.

Calculated values
Magnetic moment   0.748 μB per formula unit
ΔE_f   0.0123 eV per atom

Unit cell a=3.2097 b=3.2097 c=38.9427 alpha=90.00 beta=90.00 gamma=120.00
Space group R-3m (No. 166, hexagonal axes)
Symmetry-distinct sites (fractional):
Mg1 0.0000 0.0000 0.0000 (multiplicity 3)
Mg2 0.0000 0.0000 0.2000 (multiplicity 6)
Sc1 0.0000 0.0000 0.3996 (multiplicity 6)


[4]
Here is Mg3Sc4 at its PBEsol-relaxed geometry from Alexandria via LeMat-Bulk. Energies are from meta-GGA SCAN.

Calculated values
ΔE to the lowest computed polymorph   0.0 meV/atom
Magnetic moment   2.012 μB per formula unit
ΔE_f   -0.0544 eV per atom

Unit cell a=3.209 b=3.209 c=31.477 alpha=90.00 beta=90.00 gamma=90.00
Space group I4/mmm (No. 139)
Symmetry-distinct sites (fractional):
Mg1 0.000 0.000 0.000 (multiplicity 2)
Mg2 0.000 0.000 0.285 (multiplicity 4)
Sc1 0.000 0.000 0.143 (multiplicity 4)
Sc2 0.000 0.000 0.428 (multiplicity 4)


[5]
Here is Mg24Sc5 at its PBEsol-relaxed geometry from Alexandria via LeMat-Bulk. Energies are from meta-GGA SCAN.

Calculated values
Magnetic moment   2.101 μB per formula unit
ΔE_f   -0.0202 eV per atom

Unit cell a=10.942 b=10.942 c=10.942 alpha=90.00 beta=90.00 gamma=90.00
Space group I-43m (No. 217)
Symmetry-distinct sites (fractional):
Mg1 0.038 0.356 0.644 (multiplicity 24)
Mg2 0.090 0.090 0.720 (multiplicity 24)
Sc1 0.000 0.000 0.000 (multiplicity 2)
Sc2 0.183 0.183 0.183 (multiplicity 8)


[6]
Here is Mg3ScSe at its PBEsol-relaxed geometry from Alexandria via LeMat-Bulk. Energies are from meta-GGA SCAN.

Calculated values
Magnetic moment   0.906 μB per formula unit
DFT total energy   -44.18 eV per cell

Unit cell a=5.547 b=5.547 c=5.547 alpha=90.00 beta=90.00 gamma=90.00
Space group Pm-3m (No. 221)
Symmetry-distinct sites (fractional):
Mg1 0.000 0.000 0.500 (multiplicity 3)
Sc1 0.000 0.000 0.000 (multiplicity 1)
Se1 0.500 0.500 0.500 (multiplicity 1)